Record 1
Computed, not measured: a relaxed V2AgC crystal at the GGA-PBE level of DFT.

Output
- Electronic total energy: -28.5 eV per formula unit
- Mass density: 6.9 g cm⁻³
- Space group: I-42d (122)
- Formation energy: 457 meV per atom

a = 6.392 Å, b = 6.392 Å, c = 5.218 Å
α = 52.23°, β = 52.23°, γ = 90.00°
Element x y z (fractional)
V  0.375  0.470  0.750
V  0.875  0.780  0.750
V  0.530  0.125  0.250
V  0.220  0.625  0.250
C  0.500  0.500  0.000
C  0.250  0.750  0.500
Ag  0.750  0.250  0.500
Ag  0.000  0.000  0.000



Record 2
Computed, not measured: a relaxed RbZrSc crystal at the GGA-PBE level of DFT.

Output
- Electronic total energy: -13.9 eV per formula unit
- Mass density: 3.4 g cm⁻³
- Space group: Pnma (62)
- Formation energy: 658 meV per atom

a = 12.290 Å, b = 3.293 Å, c = 10.546 Å
α = 90.00°, β = 90.00°, γ = 90.00°
Element x y z (fractional)
Zr  0.423  0.250  0.420
Zr  0.077  0.750  0.920
Zr  0.923  0.250  0.080
Zr  0.577  0.750  0.580
Sc  0.400  0.250  0.707
Sc  0.900  0.250  0.793
Sc  0.600  0.750  0.293
Sc  0.100  0.750  0.207
Rb  0.145  0.750  0.566
Rb  0.355  0.250  0.066
Rb  0.645  0.750  0.934
Rb  0.855  0.250  0.434



> Which formula does entry 2 have?

RbZrSc



> Which value of mass density does entry 1 give?

6.9 g cm⁻³



> Which value of formation energy does entry 2 give?

658 meV per atom



Copy entry 1 word for word.
Computed, not measured: a relaxed V2AgC crystal at the GGA-PBE level of DFT.

Output
- Electronic total energy: -28.5 eV per formula unit
- Mass density: 6.9 g cm⁻³
- Space group: I-42d (122)
- Formation energy: 457 meV per atom

a = 6.392 Å, b = 6.392 Å, c = 5.218 Å
α = 52.23°, β = 52.23°, γ = 90.00°
Element x y z (fractional)
V  0.375  0.470  0.750
V  0.875  0.780  0.750
V  0.530  0.125  0.250
V  0.220  0.625  0.250
C  0.500  0.500  0.000
C  0.250  0.750  0.500
Ag  0.750  0.250  0.500
Ag  0.000  0.000  0.000